No. 1
! YHoCu2Si2 | Alexandria | GGA-PBE | optimized geometry; values from VASP
! Calculated total energy ... -34.1 eV/f.u.
! Space-group type ... P-3m1
! Calculated volume ... 18.51 A^3/atom
&SYSTEM
  ibrav = 0, nat = 6, ntyp = 4
/
ATOMIC_SPECIES
Cu 63.55 Cu.upf
Y 88.91 Y.upf
Ho 164.93 Ho.upf
Si 28.09 Si.upf
CELL_PARAMETERS angstrom
4.154 0.000 0.000
-2.077 3.597 0.000
0.000 0.000 7.433
ATOMIC_POSITIONS crystal
Cu 0.667 0.333 0.246
Y 0.000 0.000 0.500
Cu 0.333 0.667 0.754
Ho 0.000 0.000 0.000
Si 0.667 0.333 0.752
Si 0.333 0.667 0.248



No. 2
! Ac2Mg2Tl2H | Alexandria | GGA-PBE | optimized geometry; values from VASP
! Calculated total energy ... -21.6 eV/f.u.
! Space-group type ... I4/mmm
! Calculated volume ... 26.94 A^3/atom
&SYSTEM
  ibrav = 0, nat = 7, ntyp = 4
/
ATOMIC_SPECIES
Ac 227.00 Ac.upf
Mg 24.30 Mg.upf
Tl 204.38 Tl.upf
H 1.01 H.upf
CELL_PARAMETERS angstrom
4.768 0.000 0.000
0.000 4.768 0.000
-2.384 -2.384 8.295
ATOMIC_POSITIONS crystal
Ac 0.163 0.163 0.327
Mg 0.500 0.000 0.000
Tl 0.620 0.620 0.240
Ac 0.837 0.837 0.673
Mg 0.000 0.500 0.000
H 0.000 0.000 0.000
Tl 0.380 0.380 0.760



No. 3
! LaYSi | Alexandria | GGA-PBE | optimized geometry; values from VASP
! Calculated total energy ... -18.2 eV/f.u.
! Space-group type ... P6_3/mmc
! Calculated volume ... 25.53 A^3/atom
! Energy relative to the lowest polymorph listed for this composition ... 0.037 eV/atom
&SYSTEM
  ibrav = 0, nat = 12, ntyp = 3
/
ATOMIC_SPECIES
Y 88.91 Y.upf
La 138.91 La.upf
Si 28.09 Si.upf
CELL_PARAMETERS angstrom
-4.185 2.080 -2.343
-3.498 -1.024 5.336
2.335 8.193 3.103
ATOMIC_POSITIONS crystal
Y 0.750 0.000 0.885
La 0.250 0.750 0.718
Si 0.750 0.500 0.885
La 0.750 0.750 0.218
Y 0.250 0.500 0.051
Si 0.250 0.500 0.385
La 0.750 0.250 0.218
Si 0.750 0.000 0.551
La 0.250 0.250 0.718
Y 0.750 0.500 0.551
Y 0.250 0.000 0.385
Si 0.250 0.000 0.051



No. 4
! SrAsAuSe2 | Alexandria | GGA-PBE | optimized geometry; values from VASP
! Calculated total energy ... -12.8 eV/f.u.
! Space-group type ... P4/mmm
! Calculated volume ... 38.70 A^3/atom
! Energy relative to the lowest polymorph listed for this composition ... 1.077 eV/atom
&SYSTEM
  ibrav = 0, nat = 5, ntyp = 4
/
ATOMIC_SPECIES
Sr 87.62 Sr.upf
As 74.92 As.upf
Se 78.96 Se.upf
Au 196.97 Au.upf
CELL_PARAMETERS angstrom
5.741 0.000 0.000
0.000 5.741 0.000
0.000 0.000 5.871
ATOMIC_POSITIONS crystal
Sr 0.000 0.000 0.000
As 0.000 0.000 0.500
Se 0.000 0.500 0.000
Au 0.500 0.500 0.500
Se 0.500 0.000 0.000



No. 5
! Pm2Pr4SmTm | Alexandria | GGA-PBE | optimized geometry; values from VASP
! Calculated total energy ... -37.7 eV/f.u.
! Space-group type ... P2/m
! Energy of formation from the pure elements ... 13 meV per atom
! Calculated volume ... 34.62 A^3/atom
&SYSTEM
  ibrav = 0, nat = 8, ntyp = 4
/
ATOMIC_SPECIES
Pr 140.91 Pr.upf
Tm 168.93 Tm.upf
Pm 145.00 Pm.upf
Sm 150.36 Sm.upf
CELL_PARAMETERS angstrom
-4.767 1.579 -1.356
-1.513 -4.931 -0.426
-4.327 -4.932 9.469
ATOMIC_POSITIONS crystal
Pr 0.000 0.753 0.747
Tm 0.000 0.500 0.500
Pm 0.500 0.000 0.500
Pr 0.500 0.252 0.748
Pr 0.000 0.247 0.253
Sm 0.500 0.500 0.000
Pm 0.000 0.000 0.000
Pr 0.500 0.748 0.252



No. 6
! Sc3CdNi | Alexandria | GGA-PBE | optimized geometry; values from VASP
! Calculated total energy ... -21.1 eV/f.u.
! Space-group type ... Pm-3m
! Energy of formation from the pure elements ... 911 meV per atom
! Calculated volume ... 28.33 A^3/atom
! Energy relative to the lowest polymorph listed for this composition ... 1.003 eV/atom
&SYSTEM
  ibrav = 0, nat = 5, ntyp = 3
/
ATOMIC_SPECIES
Ni 58.69 Ni.upf
Sc 44.96 Sc.upf
Cd 112.41 Cd.upf
CELL_PARAMETERS angstrom
5.213 0.000 0.000
0.000 5.213 0.000
0.000 0.000 5.213
ATOMIC_POSITIONS crystal
Ni 0.500 0.500 0.500
Sc 0.000 0.500 0.000
Sc 0.000 0.000 0.500
Sc 0.500 0.000 0.000
Cd 0.000 0.000 0.000



No. 7
! KTe6 | Alexandria | GGA-PBE | optimized geometry; values from VASP
! Calculated total energy ... -18.9 eV/f.u.
! Space-group type ... Im-3m
! Calculated volume ... 48.81 A^3/atom
&SYSTEM
  ibrav = 0, nat = 7, ntyp = 2
/
ATOMIC_SPECIES
K 39.10 K.upf
Te 127.60 Te.upf
CELL_PARAMETERS angstrom
7.628 0.000 0.000
-2.543 7.192 0.000
-2.543 -3.596 6.228
ATOMIC_POSITIONS crystal
K 0.000 0.000 0.000
Te 0.750 0.250 0.500
Te 0.500 0.250 0.750
Te 0.250 0.500 0.750
Te 0.250 0.750 0.500
Te 0.750 0.500 0.250
Te 0.500 0.750 0.250



No. 8
! TaFe2ReC | Alexandria | GGA-PBE | optimized geometry; values from VASP
! Calculated total energy ... -50.8 eV/f.u.
! Space-group type ... P4/mmm
! Energy of formation from the pure elements ... -71 meV per atom
! Calculated volume ... 11.98 A^3/atom
&SYSTEM
  ibrav = 0, nat = 5, ntyp = 4
/
ATOMIC_SPECIES
Ta 180.95 Ta.upf
Fe 55.84 Fe.upf
C 12.01 C.upf
Re 186.21 Re.upf
CELL_PARAMETERS angstrom
-1.903 -2.466 -2.244
2.489 0.668 -2.845
2.348 -3.034 1.343
ATOMIC_POSITIONS crystal
Ta 0.500 0.500 0.500
Fe 0.500 0.000 0.000
Fe 0.000 0.500 0.000
C 0.000 0.000 0.000
Re 0.000 0.000 0.500



No. 9
! FeSnI4 | Alexandria | GGA-PBE | optimized geometry; values from VASP
! Calculated total energy ... -20.2 eV/f.u.
! Space-group type ... Pnma
! Calculated volume ... 40.90 A^3/atom
&SYSTEM
  ibrav = 0, nat = 24, ntyp = 3
/
ATOMIC_SPECIES
Sn 118.71 Sn.upf
I 126.90 I.upf
Fe 55.84 Fe.upf
CELL_PARAMETERS angstrom
-2.831 3.062 -7.551
-0.911 -11.407 -4.284
-8.770 -0.464 3.099
ATOMIC_POSITIONS crystal
Sn 0.750 0.750 0.250
I 0.012 0.743 0.499
I 0.488 0.757 0.999
I 0.988 0.243 0.001
I 0.512 0.257 0.501
Fe 0.250 0.615 0.999
I 0.250 0.990 0.739
Fe 0.750 0.115 0.501
Sn 0.750 0.750 0.750
I 0.012 0.757 0.999
I 0.488 0.743 0.499
Fe 0.250 0.885 0.499
I 0.750 0.490 0.761
I 0.512 0.243 0.001
Sn 0.250 0.250 0.250
Sn 0.250 0.250 0.750
I 0.250 0.510 0.239
I 0.750 0.490 0.242
I 0.250 0.990 0.258
I 0.750 0.010 0.742
I 0.250 0.510 0.758
Fe 0.750 0.385 0.001
I 0.988 0.257 0.501
I 0.750 0.010 0.261



No. 10
! BeAl2W | Alexandria | GGA-PBE | optimized geometry; values from VASP
! Calculated total energy ... -23.9 eV/f.u.
! Space-group type ... P4/mmm
! Energy of formation from the pure elements ... 66 meV per atom
! Calculated volume ... 13.63 A^3/atom
&SYSTEM
  ibrav = 0, nat = 4, ntyp = 3
/
ATOMIC_SPECIES
Be 9.01 Be.upf
W 183.84 W.upf
Al 26.98 Al.upf
CELL_PARAMETERS angstrom
-3.309 -1.587 -1.522
1.766 -0.615 -3.198
1.042 -3.340 1.218
ATOMIC_POSITIONS crystal
Be 0.500 0.500 0.000
W 0.500 0.000 0.500
Al 0.000 0.500 0.500
Al 0.000 0.000 0.000



No. 11
! Tc3BiC | Alexandria | GGA-PBE | optimized geometry; values from VASP
! Calculated total energy ... -42.1 eV/f.u.
! Space-group type ... Pm-3m
! Energy of formation from the pure elements ... 413 meV per atom
! Calculated volume ... 14.80 A^3/atom
! Energy relative to the lowest polymorph listed for this composition ... 0.000 eV/atom
&SYSTEM
  ibrav = 0, nat = 5, ntyp = 3
/
ATOMIC_SPECIES
Bi 208.98 Bi.upf
Tc 98.00 Tc.upf
C 12.01 C.upf
CELL_PARAMETERS angstrom
-3.304 0.429 -2.555
2.514 -0.471 -3.330
-0.626 -4.150 0.113
ATOMIC_POSITIONS crystal
Bi 0.500 0.500 0.500
Tc 0.500 0.000 0.000
Tc 0.000 0.000 0.500
C 0.000 0.000 0.000
Tc 0.000 0.500 0.000



No. 12
! FeCo6Ni | Alexandria | GGA-PBE | optimized geometry; values from VASP
! Calculated total energy ... -56.9 eV/f.u.
! Space-group type ... Amm2
! Energy of formation from the pure elements ... 1 meV per atom
! Calculated volume ... 11.03 A^3/atom
! Energy relative to the lowest polymorph listed for this composition ... 0.000 eV/atom
&SYSTEM
  ibrav = 0, nat = 8, ntyp = 3
/
ATOMIC_SPECIES
Co 58.93 Co.upf
Fe 55.84 Fe.upf
Ni 58.69 Ni.upf
CELL_PARAMETERS angstrom
4.060 0.000 0.000
0.000 4.439 -2.327
0.000 -0.215 5.007
ATOMIC_POSITIONS crystal
Co 0.000 0.332 0.668
Co 0.500 0.167 0.833
Fe 0.000 0.833 0.167
Ni 0.500 0.666 0.334
Co 0.500 0.169 0.332
Co 0.000 0.331 0.167
Co 0.000 0.833 0.669
Co 0.500 0.668 0.831



No. 13
! Mn2Si | Alexandria | GGA-PBE | optimized geometry; values from VASP
! Calculated total energy ... -24.4 eV/f.u.
! Space-group type ... Cm
! Calculated volume ... 11.46 A^3/atom
&SYSTEM
  ibrav = 0, nat = 6, ntyp = 2
/
ATOMIC_SPECIES
Mn 54.94 Mn.upf
Si 28.09 Si.upf
CELL_PARAMETERS angstrom
1.342 4.394 -0.010
-1.342 4.394 -0.010
0.000 1.217 5.827
ATOMIC_POSITIONS crystal
Mn 0.324 0.324 0.350
Mn 0.687 0.687 0.672
Mn 0.981 0.981 0.992
Si 0.260 0.260 0.972
Si 0.975 0.975 0.579
Mn 0.606 0.606 0.269



No. 14
! CsVRu2 | Alexandria | GGA-PBE | optimized geometry; values from VASP
! Calculated total energy ... -23.2 eV/f.u.
! Space-group type ... I-42d
! Energy of formation from the pure elements ... 1320 meV per atom
! Calculated volume ... 26.37 A^3/atom
! Energy relative to the lowest polymorph listed for this composition ... 0.000 eV/atom
&SYSTEM
  ibrav = 0, nat = 8, ntyp = 3
/
ATOMIC_SPECIES
Ru 101.07 Ru.upf
Cs 132.91 Cs.upf
V 50.94 V.upf
CELL_PARAMETERS angstrom
5.425 0.000 0.000
0.000 5.425 0.000
2.713 2.713 7.167
ATOMIC_POSITIONS crystal
Ru 0.453 0.625 0.250
Cs 0.000 0.000 0.000
Cs 0.750 0.250 0.500
V 0.250 0.750 0.500
Ru 0.297 0.125 0.250
Ru 0.875 0.547 0.750
Ru 0.375 0.703 0.750
V 0.500 0.500 0.000



No. 15
! Tl3H12Au5 | Alexandria | GGA-PBE | optimized geometry; values from VASP
! Calculated total energy ... -58.1 eV/f.u.
! Space-group type ... Ia-3d
! Calculated volume ... 13.24 A^3/atom
&SYSTEM
  ibrav = 0, nat = 80, ntyp = 3
/
ATOMIC_SPECIES
H 1.01 H.upf
Au 196.97 Au.upf
Tl 204.38 Tl.upf
CELL_PARAMETERS angstrom
-5.500 9.108 -3.245
4.480 -4.986 -8.877
-7.044 -6.994 5.019
ATOMIC_POSITIONS crystal
H 0.177 0.106 0.020
H 0.020 0.413 0.343
H 0.587 0.980 0.157
H 0.480 0.323 0.894
H 0.106 0.177 0.520
Au 0.625 0.875 0.250
Au 0.000 0.000 0.000
Au 0.125 0.750 0.375
H 0.677 0.157 0.571
H 0.929 0.106 0.587
H 0.157 0.480 0.587
H 0.343 0.429 0.823
H 0.323 0.843 0.429
H 0.020 0.606 0.177
H 0.520 0.843 0.913
H 0.571 0.913 0.394
H 0.894 0.823 0.480
H 0.913 0.571 0.894
H 0.843 0.323 0.929
Au 0.875 0.625 0.750
H 0.429 0.087 0.606
H 0.606 0.587 0.429
H 0.980 0.394 0.823
Tl 0.750 0.375 0.125
H 0.323 0.480 0.394
H 0.394 0.413 0.571
Au 0.000 0.500 0.500
H 0.413 0.394 0.071
H 0.394 0.980 0.323
H 0.071 0.894 0.413
Au 0.750 0.625 0.375
H 0.157 0.677 0.071
Au 0.625 0.750 0.875
H 0.087 0.657 0.480
Tl 0.250 0.625 0.875
Tl 0.375 0.625 0.250
H 0.106 0.929 0.087
Au 0.750 0.125 0.875
Tl 0.125 0.875 0.750
H 0.657 0.087 0.980
H 0.929 0.823 0.843
H 0.587 0.606 0.929
Au 0.875 0.250 0.625
Tl 0.875 0.125 0.250
Au 0.375 0.250 0.125
H 0.657 0.571 0.177
Au 0.500 0.000 0.500
H 0.177 0.071 0.657
H 0.480 0.157 0.087
Tl 0.625 0.250 0.375
H 0.606 0.020 0.677
Tl 0.375 0.750 0.625
Tl 0.875 0.750 0.125
Tl 0.625 0.375 0.750
H 0.913 0.343 0.520
H 0.087 0.429 0.106
H 0.429 0.343 0.323
Au 0.500 0.500 0.500
H 0.413 0.020 0.843
H 0.571 0.657 0.677
H 0.677 0.520 0.606
Au 0.500 0.500 0.000
H 0.980 0.587 0.657
H 0.894 0.071 0.913
H 0.823 0.929 0.343
Tl 0.750 0.875 0.625
Tl 0.250 0.125 0.375
H 0.520 0.677 0.106
Au 0.000 0.000 0.500
Au 0.125 0.375 0.250
H 0.343 0.913 0.020
Au 0.250 0.875 0.125
Tl 0.125 0.250 0.875
H 0.823 0.894 0.980
Au 0.375 0.125 0.750
Au 0.000 0.500 0.000
Au 0.500 0.000 0.000
H 0.843 0.520 0.413
Au 0.250 0.375 0.625
H 0.071 0.177 0.157



No. 16
! La3BePd | Alexandria | GGA-PBE | optimized geometry; values from VASP
! Calculated total energy ... -22.2 eV/f.u.
! Space-group type ... Pm-3m
! Energy of formation from the pure elements ... 299 meV per atom
! Calculated volume ... 35.47 A^3/atom
&SYSTEM
  ibrav = 0, nat = 5, ntyp = 3
/
ATOMIC_SPECIES
Pd 106.42 Pd.upf
La 138.91 La.upf
Be 9.01 Be.upf
CELL_PARAMETERS angstrom
5.619 0.000 0.000
0.000 5.619 0.000
0.000 0.000 5.619
ATOMIC_POSITIONS crystal
Pd 0.000 0.000 0.000
La 0.000 0.000 0.500
La 0.500 0.000 0.000
La 0.000 0.500 0.000
Be 0.500 0.500 0.500



No. 17
! Sr4CaP | Alexandria | GGA-PBE | optimized geometry; values from VASP
! Calculated total energy ... -11.4 eV/f.u.
! Space-group type ... F-43m
! Energy of formation from the pure elements ... 452 meV per atom
! Calculated volume ... 44.82 A^3/atom
&SYSTEM
  ibrav = 0, nat = 6, ntyp = 3
/
ATOMIC_SPECIES
Sr 87.62 Sr.upf
Ca 40.08 Ca.upf
P 30.97 P.upf
CELL_PARAMETERS angstrom
0.000 5.123 5.123
5.123 0.000 5.123
5.123 5.123 0.000
ATOMIC_POSITIONS crystal
Sr 0.374 0.877 0.374
Sr 0.374 0.374 0.374
Sr 0.877 0.374 0.374
Ca 0.750 0.750 0.750
Sr 0.374 0.374 0.877
P 0.000 0.000 0.000



No. 18
! AcCuC2O8 | Alexandria | GGA-PBE | optimized geometry; values from VASP
! Calculated total energy ... -81.5 eV/f.u.
! Space-group type ... C2/m
! Calculated volume ... 10.80 A^3/atom
&SYSTEM
  ibrav = 0, nat = 12, ntyp = 4
/
ATOMIC_SPECIES
O 16.00 O.upf
Ac 227.00 Ac.upf
C 12.01 C.upf
Cu 63.55 Cu.upf
CELL_PARAMETERS angstrom
-2.449 -1.178 3.949
-0.943 -5.193 0.775
3.731 -2.507 4.476
ATOMIC_POSITIONS crystal
O 0.609 0.025 0.232
Ac 0.500 0.500 0.500
O 0.134 0.025 0.232
C 0.693 0.788 0.826
O 0.335 0.378 0.952
C 0.307 0.212 0.174
O 0.143 0.391 0.323
Cu 0.000 0.000 0.000
O 0.391 0.975 0.768
O 0.857 0.609 0.677
O 0.866 0.975 0.768
O 0.665 0.622 0.048



No. 19
! LiSbAs | Alexandria | GGA-PBE | optimized geometry; values from VASP
! Calculated total energy ... -10.9 eV/f.u.
! Space-group type ... I4mm
! Calculated volume ... 21.39 A^3/atom
&SYSTEM
  ibrav = 0, nat = 3, ntyp = 3
/
ATOMIC_SPECIES
As 74.92 As.upf
Sb 121.76 Sb.upf
Li 6.94 Li.upf
CELL_PARAMETERS angstrom
-5.255 -1.832 2.769
-5.648 -2.553 -0.469
0.424 -3.244 0.675
ATOMIC_POSITIONS crystal
As 0.053 0.053 0.947
Sb 0.300 0.300 0.700
Li 0.647 0.647 0.353



No. 20
! TcSnIrOsS | Alexandria | GGA-PBE | optimized geometry; values from VASP
! Calculated total energy ... -37.9 eV/f.u.
! Space-group type ... Cm
! Calculated volume ... 17.32 A^3/atom
! Energy relative to the lowest polymorph listed for this composition ... 0.062 eV/atom
&SYSTEM
  ibrav = 0, nat = 10, ntyp = 5
/
ATOMIC_SPECIES
Os 190.23 Os.upf
S 32.06 S.upf
Sn 118.71 Sn.upf
Ir 192.22 Ir.upf
Tc 98.00 Tc.upf
CELL_PARAMETERS angstrom
-3.971 2.158 -5.040
-0.452 -2.792 -0.839
-5.214 -1.373 7.373
ATOMIC_POSITIONS crystal
Os 0.087 0.000 0.278
S 0.935 0.500 0.082
Os 0.087 0.500 0.778
Sn 0.645 0.500 0.744
Ir 0.431 0.500 0.412
Ir 0.431 0.000 0.912
Tc 0.272 0.000 0.591
Tc 0.272 0.500 0.091
Sn 0.645 0.000 0.244
S 0.935 0.000 0.582